# 1
Material: Ti5Ga12Ni2
Method: DFT, PBE
State: relaxed

The structure in extended XYZ format:
```
19
Lattice="6.626 0.000 0.000 -3.313 6.432 1.062 0.000 -1.014 7.364" Properties=species:S:1:pos:R:3 pbc="T T T"
Ti 0.000 4.318 1.497
Ti 0.000 2.086 5.992
Ti 0.000 -0.507 3.682
Ti 3.313 3.331 2.434
Ti 3.313 1.099 6.929
Ga 0.000 -0.463 6.220
Ga 1.989 1.388 4.294
Ga -2.054 3.490 7.049
Ga 3.313 0.145 2.201
Ga 1.259 1.928 1.376
Ga 0.000 5.273 6.225
Ga 2.054 3.490 7.049
Ga 5.367 1.928 1.376
Ga 4.638 1.388 4.294
Ga -1.325 4.029 4.131
Ga 3.313 5.881 2.206
Ga 1.325 4.029 4.131
Ni 2.068 0.000 0.000
Ni 4.559 0.000 0.000
```

Output
- Space group: C2/m
- DFT total energy: -4.732 eV per atom
- DOS at the Fermi energy: 0.579 states/eV per atom
- Formation enthalpy at 0 K: -0.13 eV per atom

# 2
Material: TiGa2Ni8
Method: DFT, PBE
State: relaxed

The structure in extended XYZ format:
```
11
Lattice="4.130 0.989 0.000 1.651 6.249 0.000 0.825 3.124 5.614" Properties=species:S:1:pos:R:3 pbc="T T T"
Ni 3.898 2.161 1.251
Ni 2.708 8.201 4.363
Ni 4.724 5.286 4.363
Ni 3.826 4.361 0.000
Ni 1.955 2.877 0.000
Ni 3.716 6.743 2.388
Ni 2.890 3.619 3.226
Ni 1.882 5.077 1.251
Ga 1.651 6.249 3.443
Ga 0.825 3.124 2.171
Ti 2.065 0.494 0.000
```

Output
- Space group: C2/m
- Excess energy over the best structure of this formula in the dataset: 0.000 eV per atom
- DFT total energy: -5.630 eV per atom
- DOS at the Fermi energy: 0.744 states/eV per atom
- Formation enthalpy at 0 K: -0.16 eV per atom

# 3
Material: Ti5Ga2Ni12
Method: DFT, PBE
State: relaxed

The structure in extended XYZ format:
```
19
Lattice="-4.648 0.741 1.511 -0.099 -2.630 -7.098 0.729 -6.045 5.209" Properties=species:S:1:pos:R:3 pbc="T T T"
Ni -0.201 -4.127 -2.644
Ni 0.424 -6.938 0.436
Ni -1.986 -1.388 -1.612
Ni -2.152 -1.937 2.417
Ni -0.324 -2.279 0.122
Ni -4.441 -0.996 -0.813
Ni -2.032 -6.546 1.234
Ni -3.816 -3.807 2.267
Ni -2.530 -3.755 -1.887
Ni -1.487 -4.179 1.510
Ni -3.693 -5.655 -0.499
Ni -1.865 -5.997 -2.794
Ti -1.058 -5.335 -0.638
Ti -1.657 -2.553 -3.842
Ti -2.959 -2.599 0.261
Ti -2.361 -5.381 3.465
Ti 0.365 -3.023 2.604
Ga -1.159 0.185 0.377
Ga -3.489 0.556 1.134
```

Output
- Space group: C2/m
- DFT total energy: -6.167 eV per atom
- DOS at the Fermi energy: 0.535 states/eV per atom
- Formation enthalpy at 0 K: -0.12 eV per atom

# 4
Material: Ti3Ga2Ni
Method: DFT, PBE
State: relaxed

The structure in extended XYZ format:
```
6
Lattice="-0.790 -2.673 0.314 1.483 -0.706 -2.273 9.147 -1.931 6.567" Properties=species:S:1:pos:R:3 pbc="T T T"
Ga 1.944 -2.026 0.167
Ga 7.897 -3.283 4.441
Ti 3.193 -0.674 2.292
Ti 5.954 -1.257 4.275
Ti 0.000 0.000 0.000
Ni 4.920 -2.655 2.304
```

Output
- Space group: P4/mmm
- Excess energy over the best structure of this formula in the dataset: 0.000 eV per atom
- DFT total energy: -6.346 eV per atom
- DOS at the Fermi energy: 1.205 states/eV per atom
- Formation enthalpy at 0 K: -0.43 eV per atom

# 5
Material: TiGa2Ni5
Method: DFT, PBE
State: relaxed

The structure in extended XYZ format:
```
8
Lattice="-3.649 -0.793 0.214 0.585 -3.192 -1.860 2.598 -1.301 6.810" Properties=species:S:1:pos:R:3 pbc="T T T"
Ni 1.090 -4.060 3.549
Ni -1.532 -1.992 -0.823
Ni -1.027 -2.861 4.586
Ni 0.561 -2.425 0.578
Ni -1.556 -1.226 1.615
Ti 0.000 0.000 0.000
Ga -1.005 -3.621 2.138
Ga 0.539 -1.665 3.026
```

Output
- Space group: I4/mmm
- DFT total energy: -5.768 eV per atom
- DOS at the Fermi energy: 0.314 states/eV per atom
- Formation enthalpy at 0 K: -0.41 eV per atom

# 6
Material: Ti2Ga3Ni
Method: DFT, PBE
State: relaxed

The structure in extended XYZ format:
```
6
Lattice="2.763 0.000 0.000 0.000 5.259 0.000 -1.381 -2.629 6.707" Properties=species:S:1:pos:R:3 pbc="T T T"
Ga 1.381 2.629 1.981
Ga 0.000 0.000 0.000
Ga 0.000 0.000 4.726
Ti 0.000 2.629 4.270
Ti 1.381 0.000 2.437
Ni 0.000 2.629 0.000
```

Output
- Space group: Immm
- Excess energy over the best structure of this formula in the dataset: 0.312 eV per atom
- DFT total energy: -5.219 eV per atom
- DOS at the Fermi energy: 1.142 states/eV per atom
- Formation enthalpy at 0 K: -0.11 eV per atom

# 7
Material: TiGa2Ni
Method: DFT, PBE
State: relaxed

The structure in extended XYZ format:
```
4
Lattice="3.814 0.000 0.000 0.000 3.855 0.000 0.000 0.000 3.855" Properties=species:S:1:pos:R:3 pbc="T T T"
Ga 0.000 1.928 0.000
Ga 0.000 0.000 1.928
Ti 1.907 0.000 0.000
Ni 1.907 1.928 1.928
```

Output
- Space group: P4/mmm
- DFT total energy: -5.371 eV per atom
- DOS at the Fermi energy: 0.445 states/eV per atom
- Formation enthalpy at 0 K: -0.44 eV per atom

# 8
Material: TiGaNi5
Method: DFT, PBE
State: relaxed

The structure in extended XYZ format:
```
14
Lattice="-0.414 1.377 5.827 -5.962 0.319 -0.610 -2.408 -4.776 2.860" Properties=species:S:1:pos:R:3 pbc="T T T"
Ni -6.662 -3.052 2.818
Ni -5.174 0.629 1.862
Ni -4.836 -1.784 1.966
Ni -3.611 -3.709 6.215
Ni -5.659 -2.784 7.134
Ni -3.949 -1.296 6.110
Ni -6.208 -0.730 3.670
Ni -3.126 -0.296 0.942
Ni -2.123 -0.028 5.258
Ni -2.577 -2.350 4.407
Ti -3.657 -0.321 3.478
Ti -5.128 -2.760 4.599
Ga -1.204 -2.388 1.430
Ga 0.000 0.000 0.000
```

Output
- Space group: C2/c
- Excess energy over the best structure of this formula in the dataset: 0.128 eV per atom
- DFT total energy: -5.650 eV per atom
- DOS at the Fermi energy: 0.823 states/eV per atom
- Formation enthalpy at 0 K: 0.04 eV per atom

# 9
Material: TiGa3Ni
Method: DFT, PBE
State: relaxed

The structure in extended XYZ format:
```
5
Lattice="4.870 0.000 0.000 0.000 4.870 0.000 0.000 0.000 4.870" Properties=species:S:1:pos:R:3 pbc="T T T"
Ni 2.435 2.435 2.435
Ga 2.435 0.000 0.000
Ga 0.000 0.000 2.435
Ga 0.000 2.435 0.000
Ti 0.000 0.000 0.000
```

Output
- Space group: Pm-3m
- Excess energy over the best structure of this formula in the dataset: 1.167 eV per atom
- DFT total energy: -3.652 eV per atom
- DOS at the Fermi energy: 0.908 states/eV per atom
- Formation enthalpy at 0 K: 0.90 eV per atom

# 10
Material: Ti3GaNi12
Method: DFT, PBE
State: relaxed

The structure in extended XYZ format:
```
16
Lattice="-0.982 1.790 -2.965 0.914 -2.839 -2.016 -13.371 -5.213 1.281" Properties=species:S:1:pos:R:3 pbc="T T T"
Ni -11.247 -5.983 0.113
Ni -2.158 0.245 -1.323
Ni -5.505 -1.060 -1.002
Ni -8.848 -2.363 -0.682
Ni -4.557 -3.374 -0.528
Ni -1.210 -2.069 -0.848
Ni -7.900 -4.677 -0.207
Ni -6.720 -3.131 -1.850
Ni -0.034 -0.525 -2.491
Ni -12.195 -3.668 -0.361
Ni -3.373 -1.826 -2.171
Ni -10.066 -4.436 -1.530
Ga 0.000 0.000 0.000
Ti -10.071 -3.926 0.965
Ti -6.686 -2.606 0.641
Ti -3.300 -1.287 0.316
```

Output
- Space group: P4/mmm
- DFT total energy: -6.449 eV per atom
- DOS at the Fermi energy: 0.591 states/eV per atom
- Formation enthalpy at 0 K: -0.44 eV per atom

# 11
Material: TiGaNi2
Method: DFT, PBE
State: relaxed

The structure in extended XYZ format:
```
4
Lattice="3.237 0.000 0.000 0.000 4.013 0.000 0.000 0.000 4.013" Properties=species:S:1:pos:R:3 pbc="T T T"
Ni 0.000 2.007 0.000
Ni 0.000 0.000 2.007
Ti 1.619 0.000 0.000
Ga 1.619 2.007 2.007
```

Output
- Space group: P4/mmm
- DFT total energy: -6.018 eV per atom
- DOS at the Fermi energy: 0.986 states/eV per atom
- Formation enthalpy at 0 K: -0.40 eV per atom

# 12
Material: TiGa3Ni4
Method: DFT, PBE
State: relaxed

The structure in extended XYZ format:
```
16
Lattice="4.121 0.000 0.000 0.000 5.955 0.000 0.000 0.000 8.244" Properties=species:S:1:pos:R:3 pbc="T T T"
Ni 0.001 4.482 6.183
Ni 4.121 4.482 2.061
Ni 2.061 1.472 0.000
Ni 2.061 1.472 4.122
Ni 0.001 1.472 6.183
Ni 4.121 1.472 2.061
Ni 2.061 4.482 0.000
Ni 2.061 4.482 4.122
Ga 2.062 0.000 6.183
Ga 2.060 0.000 2.061
Ga 0.000 0.000 0.000
Ga 2.061 2.977 6.183
Ga 2.060 2.977 2.061
Ga 0.000 0.000 4.122
Ti 0.000 2.977 0.000
Ti 0.000 2.977 4.122
```

Output
- Space group: P4/mmm
- DFT total energy: -5.452 eV per atom
- DOS at the Fermi energy: 0.717 states/eV per atom
- Formation enthalpy at 0 K: -0.44 eV per atom